# Si2AgPd, relaxed, DFT PBE-GGA
data_Si2AgPd
_symmetry_space_group_name_H-M 'P 1'
_symmetry_Int_Tables_number 1
_cell_length_a 4.4710
_cell_length_b 4.4710
_cell_length_c 4.4710
_cell_angle_alpha 60.00
_cell_angle_beta 60.00
_cell_angle_gamma 60.00
loop_
_symmetry_equiv_pos_as_xyz
'x,y,z'
loop_
_atom_site_label
_atom_site_type_symbol
_atom_site_fract_x
_atom_site_fract_y
_atom_site_fract_z
Si1 Si 0.2500 0.2500 0.2500
Si2 Si 0.7500 0.7500 0.7500
Ag1 Ag 0.0000 0.0000 0.0000
Pd1 Pd 0.5000 0.5000 0.5000
# **Energy relative to the elements, uncorrected**: 0.15 eV per atom
# **Total DFT energy (no corrections)**: -4.58 eV per atom
# **Total magnetic moment**: 0.00 μB per formula unit
# **Symmetry**: No. 225
# **Crystal system**: cubic



# Ba2Zn2GaAu4, relaxed, DFT PBE-GGA
data_Ba2Zn2GaAu4
_symmetry_space_group_name_H-M 'P 1'
_symmetry_Int_Tables_number 1
_cell_length_a 6.7637
_cell_length_b 6.7637
_cell_length_c 6.7637
_cell_angle_alpha 116.92
_cell_angle_beta 116.92
_cell_angle_gamma 95.42
loop_
_symmetry_equiv_pos_as_xyz
'x,y,z'
loop_
_atom_site_label
_atom_site_type_symbol
_atom_site_fract_x
_atom_site_fract_y
_atom_site_fract_z
Ba1 Ba 0.2500 0.7500 0.5000
Ba2 Ba 0.7500 0.2500 0.5000
Zn1 Zn 0.1533 0.1533 0.0000
Zn2 Zn 0.8467 0.8467 0.0000
Ga1 Ga 0.5000 0.5000 0.0000
Au1 Au 0.2361 0.2361 0.4723
Au2 Au 0.2361 0.7639 0.0000
Au3 Au 0.7639 0.2361 0.0000
Au4 Au 0.7639 0.7639 0.5277
# **ΔE_f**: -0.457 eV/atom
# **Total DFT energy (no corrections)**: -2.96 eV per atom
# **Total magnetic moment**: 0.00 μB per formula unit
# **Symmetry**: No. 139
# **Crystal system**: tetragonal



# ReHgO6, relaxed, DFT PBE-GGA
data_ReHgO6
_symmetry_space_group_name_H-M 'P 1'
_symmetry_Int_Tables_number 1
_cell_length_a 5.9371
_cell_length_b 5.9371
_cell_length_c 5.9371
_cell_angle_alpha 60.00
_cell_angle_beta 60.00
_cell_angle_gamma 60.00
loop_
_symmetry_equiv_pos_as_xyz
'x,y,z'
loop_
_atom_site_label
_atom_site_type_symbol
_atom_site_fract_x
_atom_site_fract_y
_atom_site_fract_z
Re1 Re 0.0000 0.0000 0.0000
Hg1 Hg 0.5000 0.5000 0.5000
O1 O 0.2225 0.2225 0.7775
O2 O 0.2225 0.7775 0.2225
O3 O 0.2225 0.7775 0.7775
O4 O 0.7775 0.2225 0.2225
O5 O 0.7775 0.2225 0.7775
O6 O 0.7775 0.7775 0.2225
# **Energy relative to the elements, uncorrected**: -0.39 eV per atom
# **Total DFT energy (no corrections)**: -5.70 eV per atom
# **Total magnetic moment**: 3.00 μB per formula unit
# **Symmetry**: No. 225
# **Crystal system**: cubic



# CrP2Au, relaxed, DFT PBE-GGA
data_CrP2Au
_symmetry_space_group_name_H-M 'P 1'
_symmetry_Int_Tables_number 1
_cell_length_a 4.4485
_cell_length_b 4.4485
_cell_length_c 4.4854
_cell_angle_alpha 111.13
_cell_angle_beta 111.13
_cell_angle_gamma 105.53
loop_
_symmetry_equiv_pos_as_xyz
'x,y,z'
loop_
_atom_site_label
_atom_site_type_symbol
_atom_site_fract_x
_atom_site_fract_y
_atom_site_fract_z
Cr1 Cr 0.0000 0.0000 0.0000
P1 P 0.0000 0.5000 0.5000
P2 P 0.5000 0.0000 0.5000
Au1 Au 0.5000 0.5000 0.0000
# **ΔE_f**: 0.258 eV/atom
# **Total DFT energy (no corrections)**: -5.67 eV per atom
# **Total magnetic moment**: 3.46 μB per formula unit
# **Symmetry**: No. 12
# **Crystal system**: monoclinic



# ScFeMo2, relaxed, DFT PBE-GGA
data_ScFeMo2
_symmetry_space_group_name_H-M 'P 1'
_symmetry_Int_Tables_number 1
_cell_length_a 5.2769
_cell_length_b 5.2769
_cell_length_c 2.6801
_cell_angle_alpha 90.00
_cell_angle_beta 90.00
_cell_angle_gamma 120.57
loop_
_symmetry_equiv_pos_as_xyz
'x,y,z'
loop_
_atom_site_label
_atom_site_type_symbol
_atom_site_fract_x
_atom_site_fract_y
_atom_site_fract_z
Sc1 Sc 0.0000 0.0000 0.0000
Fe1 Fe 0.5000 0.5000 0.0000
Mo1 Mo 0.0000 0.5000 0.5000
Mo2 Mo 0.5000 0.0000 0.5000
# **ΔE_f**: 0.303 eV/atom
# **Total DFT energy (no corrections)**: -8.81 eV per atom
# **Total magnetic moment**: 2.05 μB per formula unit
# **Symmetry**: No. 65
# **Crystal system**: orthorhombic



# NaAlC2, relaxed, DFT PBE-GGA
data_NaAlC2
_symmetry_space_group_name_H-M 'P 1'
_symmetry_Int_Tables_number 1
_cell_length_a 7.1393
_cell_length_b 7.1393
_cell_length_c 7.1393
_cell_angle_alpha 145.72
_cell_angle_beta 145.72
_cell_angle_gamma 49.26
loop_
_symmetry_equiv_pos_as_xyz
'x,y,z'
loop_
_atom_site_label
_atom_site_type_symbol
_atom_site_fract_x
_atom_site_fract_y
_atom_site_fract_z
Na1 Na 0.3750 0.6250 0.7500
Na2 Na 0.6250 0.3750 0.2500
Al1 Al 0.1250 0.8750 0.2500
Al2 Al 0.8750 0.1250 0.7500
C1 C 0.0000 0.0000 0.0000
C2 C 0.0000 0.0000 0.5000
C3 C 0.0000 0.5000 0.0000
C4 C 0.5000 0.0000 0.5000
# **ΔE_f**: 1.134 eV/atom
# **Total DFT energy (no corrections)**: -4.74 eV per atom
# **Total magnetic moment**: 0.00 μB per formula unit
# **Symmetry**: No. 141
# **Crystal system**: tetragonal